Entry 1:
Compound: ZnNiH2
Source: Alexandria
Functional: PBE
Structure: relaxed

Values from the calculation:
Crystal system   tetragonal
Total magnetic moment   0.0 μB/f.u.

Cell: 4.9716 4.9716 4.9716 Å, 132.48 132.48 69.47°
With the nearest neighbours (Å) after each atom.
Element x y z (fractional)
Zn 0.0000 0.0000 0.0000  4 H 1.88
Zn 0.7500 0.2500 0.5000  4 H 1.88
Ni 0.2500 0.7500 0.5000  4 H 1.63
Ni 0.5000 0.5000 0.0000  4 H 1.63
H 0.1776 0.6250 0.0526  2 Ni 1.63
H 0.3750 0.4276 0.5526  2 Ni 1.63
H 0.5724 0.1250 0.9474  2 Ni 1.63
H 0.8750 0.8224 0.4474  2 Ni 1.63


Entry 2:
Compound: Zn2CuF8
Source: Alexandria
Functional: PBE
Structure: relaxed

Values from the calculation:
Crystal system   triclinic
Formation energy (no corrections)   -1682 meV per atom
Polymorph energy (0 for the lowest one)   0.30 kcal/mol of atoms
Total magnetic moment   0.9 μB/f.u.

Cell: 5.0442 5.1133 6.9537 Å, 81.62 71.10 88.83°
With the nearest neighbours (Å) after each atom.
Element x y z (fractional)
Zn 0.2329 0.0088 0.3020  5 F 1.94-2.08
Zn 0.7671 0.9912 0.6980  5 F 1.94-2.08
Cu 0.5000 0.5000 0.0000  6 F 1.84-1.94
F 0.1618 0.3155 0.0972  1 Cu 1.84
F 0.1734 0.0834 0.5826  2 Zn 1.97-1.98
F 0.3859 0.6668 0.2473  1 Zn 1.94, 1 Cu 1.94
F 0.3882 0.7908 0.8574  1 Cu 1.85
F 0.6118 0.2092 0.1426  1 Cu 1.85
F 0.6141 0.3332 0.7527  1 Zn 1.94, 1 Cu 1.94
F 0.8266 0.9166 0.4174  2 Zn 1.97-1.98
F 0.8382 0.6845 0.9028  1 Cu 1.84


Entry 3:
Compound: Na2VInBr6
Source: Alexandria
Functional: PBE
Structure: relaxed

Values from the calculation:
Crystal system   trigonal
Formation energy (no corrections)   -1065 meV per atom
Total magnetic moment   2.0 μB/f.u.

Cell: 7.8924 7.8924 7.8924 Å, 55.59 55.59 55.59°
With the nearest neighbours (Å) after each atom.
Element x y z (fractional)
Na 0.0000 0.0000 0.0000  6 Br 2.95-3.04
Na 0.4816 0.4816 0.4816  6 Br 3.00-3.09
V 0.6763 0.6763 0.6763  6 Br 2.57-2.59
In 0.1916 0.1916 0.1916  6 Br 3.10-3.39
Br 0.0325 0.4521 0.7589  1 V 2.57
Br 0.3114 0.8696 0.6110  1 V 2.59
Br 0.4521 0.7589 0.0325  1 V 2.57
Br 0.6110 0.3114 0.8696  1 V 2.59
Br 0.7589 0.0325 0.4521  1 V 2.57
Br 0.8696 0.6110 0.3114  1 V 2.59


no.,E_tot (eV per atom)
1,-3.359
2,-3.647
3,-3.519